Entry from Alexandria via LeMat-Bulk: crystalline Cs3LaNb2O8 at its relaxed geometry (PBE).

Properties
Symmetry: P-3m1
Crystal system: trigonal
Uncorrected formation energy in eV per atom: -2.57

Cell: 6.5335 6.5335 8.5242 Å, 90.00 90.00 120.00°
With the nearest neighbours (Å) after each atom.
Atoms (fractional coordinates):
Cs 0.3333 0.6667 0.7107  1 O 2.86
Cs 0.6667 0.3333 0.2893  1 O 2.86
Cs 0.0000 0.0000 0.0000  12 O 3.46-3.79
La 0.0000 0.0000 0.5000  6 O 2.43
Nb 0.3333 0.6667 0.2598  4 O 1.82-1.90
Nb 0.6667 0.3333 0.7402  4 O 1.82-1.90
O 0.3333 0.6667 0.0459  1 Nb 1.82
O 0.6667 0.3333 0.9541  1 Nb 1.82
O 0.1744 0.8256 0.3330  1 Nb 1.90
O 0.8256 0.1744 0.6670  1 Nb 1.90
O 0.1744 0.3488 0.3330  1 Nb 1.90
O 0.8256 0.6512 0.6670  1 Nb 1.90
O 0.6512 0.8256 0.3330  1 Nb 1.90
O 0.3488 0.1744 0.6670  1 Nb 1.90

---

Entry from Alexandria via LeMat-Bulk: crystalline Cs3La3NbS8 at its relaxed geometry (PBE).

Properties
Symmetry: R-3m
Crystal system: trigonal
Uncorrected formation energy in eV per atom: -1.65

Cell: 8.3344 8.3346 9.5193 Å, 115.97 90.00 120.00°
With the nearest neighbours (Å) after each atom.
Atoms (fractional coordinates):
Cs 0.0000 0.0000 0.0000  6 S 3.50-3.53
Cs 0.0000 0.5000 0.0000  6 S 3.50-3.53
Cs 0.5000 0.5000 0.0000  6 S 3.50-3.53
La 0.5000 0.0000 0.5000  6 S 2.87-2.91
La 0.5000 0.5000 0.5000  6 S 2.87-2.91
La 0.0000 0.5000 0.5000  6 S 2.87-2.91
Nb 0.0000 0.0000 0.5000  6 S 2.57
S 0.2700 0.5400 0.3101  3 La 2.87
S 0.7300 0.4600 0.6899  3 La 2.87
S 0.7936 0.5871 0.3273  1 Nb 2.57
S 0.2064 0.4129 0.6727  1 Nb 2.57
S 0.7936 0.0337 0.3274  1 Nb 2.57
S 0.2064 0.9663 0.6726  1 Nb 2.57
S 0.2401 0.0337 0.3274  1 Nb 2.57
S 0.7599 0.9663 0.6726  1 Nb 2.57

---

Entry from Alexandria via LeMat-Bulk: crystalline CsLa2NbZn at its relaxed geometry (PBE).

Properties
Symmetry: P4/mmm
Crystal system: tetragonal
E in eV/atom: -2.829

Cell: 5.9008 5.1440 5.9008 Å, 90.00 90.00 90.00°
With the nearest neighbours (Å) after each atom.
Atoms (fractional coordinates):
Cs 0.0000 0.0000 0.0000  2 Nb 2.57
Nb 0.0000 0.5000 0.0000  2 Cs 2.57
Zn 0.5000 0.5000 0.5000  8 La 3.91, 4 Nb 4.17
La 0.0000 0.0000 0.5000  2 Cs 2.95
La 0.5000 0.0000 0.0000  2 Cs 2.95

---

What are the calculated density values for these records? In order: 4.5, 3.9, 5.3 g/cm3.
What are the DOS(E_F) values for these records? In order: 0.000, 5.788, 6.016 states/eV/cell.
What are the spin magnetization values for these records? In order: 0.0, 1.0, 1.1 μB/f.u..